Record 1
## CeDyCdIr (GGA-PBE)

Data for a relaxed structure of CeDyCdIr.

```
CeDyCdIr
1.0
-3.969 1.102 3.004
-3.701 -3.436 0.698
-0.505 -2.322 4.510
Dy Ce Cd Ir
1 1 1 1
direct
0.500 0.500 0.500
0.000 0.000 0.000
0.750 0.750 0.750
0.250 0.250 0.250
```

Results
The calculation puts the calculated volume at 23.42 Å³/atom. For the formation enthalpy at 0 K, the calculation gives -0.42 eV/atom.

Record 2
## CeDyMnCd (GGA-PBE)

Data for a relaxed structure of CeDyMnCd.

```
CeDyMnCd
1.0
-4.658 2.276 0.065
-3.292 -0.718 -3.941
-4.273 -2.858 0.678
Mn Dy Cd Ce
1 1 1 1
direct
0.000 0.000 0.000
0.250 0.250 0.250
0.500 0.500 0.500
0.750 0.750 0.750
```

Results
The calculation puts the calculated volume at 24.64 Å³/atom. For the formation enthalpy at 0 K, the calculation gives 0.05 eV/atom.

Record 3
## CeDyCdNi (GGA-PBE)

Data for a relaxed structure of CeDyCdNi.

```
CeDyCdNi
1.0
5.111 0.000 0.000
2.556 4.427 0.000
2.556 1.476 4.173
Ni Dy Cd Ce
1 1 1 1
direct
0.250 0.250 0.250
0.500 0.500 0.500
0.750 0.750 0.750
0.000 0.000 0.000
```

Results
The calculation puts the calculated volume at 23.61 Å³/atom. For the formation enthalpy at 0 K, the calculation gives -0.14 eV/atom.

Record 4
## CeDyCdPb (GGA-PBE)

Data for a relaxed structure of CeDyCdPb.

```
CeDyCdPb
1.0
5.416 0.000 0.000
2.708 4.691 0.000
2.708 1.564 4.422
Cd Dy Pb Ce
1 1 1 1
direct
0.750 0.750 0.750
0.500 0.500 0.500
0.250 0.250 0.250
0.000 0.000 0.000
```

Results
The offset from the most stable computed form comes out at 2.3 meV per atom. The calculation puts the calculated volume at 28.09 Å³/atom. For the formation enthalpy at 0 K, the calculation gives -0.32 eV/atom.

Record 5
## CeDyCdPb (GGA-PBE)

Data for a relaxed structure of CeDyCdPb.

```
CeDyCdPb
1.0
5.017 0.000 0.000
0.000 5.017 0.000
-2.508 -2.509 4.418
Pb Dy Cd Ce
1 1 1 1
direct
0.500 0.500 0.000
0.750 0.250 0.500
0.000 0.000 0.000
0.250 0.750 0.500
```

Results
The offset from the most stable computed form comes out at 0.0 meV per atom. The calculation puts the calculated volume at 27.80 Å³/atom. For the formation enthalpy at 0 K, the calculation gives -0.33 eV/atom.

Record 6
## CePmDyCd (GGA-PBE)

Data for a relaxed structure of CePmDyCd.

```
CePmDyCd
1.0
5.485 0.000 0.000
2.743 4.750 0.000
2.743 1.583 4.479
Pm Ce Cd Dy
1 1 1 1
direct
0.250 0.250 0.250
0.000 0.000 0.000
0.750 0.750 0.750
0.500 0.500 0.500
```

Results
The calculation puts the calculated volume at 29.18 Å³/atom. For the formation enthalpy at 0 K, the calculation gives 0.04 eV/atom.

Record 7
## CeDyPuCd (GGA-PBE)

Data for a relaxed structure of CeDyPuCd.

```
CeDyPuCd
1.0
-2.894 -0.290 4.492
-0.727 -4.720 2.415
2.406 -1.014 4.672
Pu Dy Ce Cd
1 1 1 1
direct
0.500 0.500 0.500
0.250 0.250 0.250
0.750 0.750 0.750
0.000 0.000 0.000
```

Results
The calculation puts the calculated volume at 27.10 Å³/atom. For the formation enthalpy at 0 K, the calculation gives 0.03 eV/atom.

Record 8
## CeDyCdRh (GGA-PBE)

Data for a relaxed structure of CeDyCdRh.

```
CeDyCdRh
1.0
5.116 0.000 0.000
2.558 4.430 0.000
2.558 1.477 4.177
Cd Ce Rh Dy
1 1 1 1
direct
0.750 0.750 0.750
0.000 0.000 0.000
0.250 0.250 0.250
0.500 0.500 0.500
```

Results
The calculation puts the calculated volume at 23.66 Å³/atom. For the formation enthalpy at 0 K, the calculation gives -0.40 eV/atom.

Record 9
## CeSmDyCd (GGA-PBE)

Data for a relaxed structure of CeSmDyCd.

```
CeSmDyCd
1.0
5.428 0.000 0.000
2.714 4.700 0.000
2.714 1.567 4.432
Cd Sm Ce Dy
1 1 1 1
direct
0.750 0.750 0.750
0.500 0.500 0.500
0.250 0.250 0.250
0.000 0.000 0.000
```

Results
The calculation puts the calculated volume at 28.26 Å³/atom. For the formation enthalpy at 0 K, the calculation gives 0.06 eV/atom.

Record 10
## CeDyCdSn (GGA-PBE)

Data for a relaxed structure of CeDyCdSn.

```
CeDyCdSn
1.0
-3.366 4.065 0.923
-5.187 -0.974 0.927
-2.030 0.737 4.904
Cd Ce Dy Sn
1 1 1 1
direct
0.500 0.500 0.500
0.750 0.750 0.750
0.250 0.250 0.250
0.000 0.000 0.000
```

Results
The calculation puts the calculated volume at 27.19 Å³/atom. For the formation enthalpy at 0 K, the calculation gives -0.44 eV/atom.

Record 11
## TbCeDyCd (GGA-PBE)

Data for a relaxed structure of TbCeDyCd.

```
TbCeDyCd
1.0
5.391 0.000 0.000
2.696 4.669 0.000
2.696 1.556 4.402
Tb Ce Dy Cd
1 1 1 1
direct
0.500 0.500 0.500
0.250 0.250 0.250
0.000 0.000 0.000
0.750 0.750 0.750
```

Results
The calculation puts the calculated volume at 27.70 Å³/atom. For the formation enthalpy at 0 K, the calculation gives 0.06 eV/atom.

Record 12
## Ce2DyTl2Cd2 (GGA-PBE)

Data for a relaxed structure of Ce2DyTl2Cd2.

```
Ce2DyTl2Cd2
1.0
4.855 0.000 0.000
2.428 4.205 0.000
2.428 1.402 9.032
Tl Cd Dy Ce
2 2 1 2
direct
0.275 0.275 0.175
0.725 0.725 0.825
0.422 0.422 0.734
0.578 0.578 0.266
0.000 0.000 0.000
0.146 0.146 0.563
0.854 0.854 0.437
```

Results
The calculation puts the calculated volume at 26.34 Å³/atom. For the formation enthalpy at 0 K, the calculation gives -0.11 eV/atom.

Record 13
## CeDyYCd (GGA-PBE)

Data for a relaxed structure of CeDyYCd.

```
CeDyYCd
1.0
-0.542 -2.018 5.045
0.816 -5.322 0.914
4.408 -1.650 2.769
Dy Ce Cd Y
1 1 1 1
direct
0.250 0.250 0.250
0.000 0.000 0.000
0.750 0.750 0.750
0.500 0.500 0.500
```

Results
The calculation puts the calculated volume at 28.79 Å³/atom. For the formation enthalpy at 0 K, the calculation gives 0.01 eV/atom.

Record 14
## CeEr3Cd4 (GGA-PBE)

Data for a relaxed structure of CeEr3Cd4.

```
CeEr3Cd4
1.0
-0.105 4.042 -3.367
-3.280 -4.434 -5.221
-9.488 2.763 3.613
Cd Er Ce
8 6 2
direct
0.500 0.760 0.000
0.000 0.240 0.250
0.000 0.760 0.250
0.500 0.760 0.500
0.500 0.240 0.000
0.000 0.240 0.750
0.000 0.760 0.750
0.500 0.240 0.500
0.500 0.500 0.250
0.500 0.000 0.750
0.000 0.000 0.500
0.500 0.000 0.250
0.500 0.500 0.750
0.000 0.000 0.000
0.000 0.500 0.000
0.000 0.500 0.500
```

Results
The calculation puts the calculated volume at 26.28 Å³/atom. For the formation enthalpy at 0 K, the calculation gives -0.25 eV/atom.